This record from Alexandria via LeMat-Bulk describes crystalline Hg2MoAs at its relaxed geometry. The functional is PBE.

The structure belongs to space group I-42d (No. 122); the cell edges are 8.019, 8.019 and 5.365 Å and the angles 90.00°, 90.00° and 90.00°. The distinct sites, in fractional coordinates, are Hg at (0.244, 0.250, 0.125), Mo at (0.000, 0.000, 0.500) and As at (0.000, 0.000, 0.000).

The value obtained for the density of states at the Fermi level is 16.27 states/eV per cell. The electronic total energy is -3.317 eV/atom. As for the total magnetization: 2.18 μB per formula unit. The value obtained for the energy of formation is 0.70 eV/atom.